1.
DFT (PBE) results for a geometry-optimized Li4OsAuO6 structure.

Output
- raw total energy (eV/atom) = -5.5864
- size of the total moment (μB per cell) = 6.0

a b c (Å): 5.5364 8.8577 5.2585
angles (deg): 90.00 114.87 90.00
Closest atoms and distances in Å follow each position.
Space group C2 (No. 5)
Unique sites:
Li: 0.0000 0.0000 0.0000 [2 per cell]  4 O 2.07-2.08
Li: 0.0000 0.1532 0.5000 [2 per cell]  6 O 1.97-2.20
Li: 0.0000 0.5040 0.5000 [2 per cell]  6 O 2.15-2.20
Li: 0.0000 0.8273 0.5000 [2 per cell]  4 O 2.08
Os: 0.0000 0.3185 0.0000 [2 per cell]  6 O 1.92-2.03
Au: 0.0000 0.6616 0.0000 [2 per cell]  4 O 2.06-2.08
O: 0.2067 0.1722 0.2749 [4 per cell]  1 Os 1.92, 3 Li 1.97-2.08
O: 0.2307 0.4862 0.2469 [4 per cell]  1 Os 2.03, 3 Li 2.08-2.20, 1 Au 2.08
O: 0.2336 0.3305 0.7921 [4 per cell]  1 Os 2.02, 1 Au 2.06, 3 Li 2.07-2.20

=====

2.
DFT (PBE) results for a geometry-optimized DyPbNO structure.

Output
- relative energy among the computed polymorphs (eV per atom) = 0.233
- raw total energy (eV/atom) = -6.6666
- size of the total moment (μB per cell) = 0.0

a b c (Å): 3.8463 6.2761 6.4222
angles (deg): 90.00 90.00 90.00
Closest atoms and distances in Å follow each position.
Space group Pmc2_1 (No. 26)
Unique sites:
Dy: 0.0000 0.1872 0.0000 [2 per cell]  2 O 2.14-2.16, 2 N 2.27
Pb: 0.5000 0.2995 0.4719 [2 per cell]  1 N 2.23
N: 0.5000 0.3624 0.0788 [2 per cell]  1 Pb 2.23, 2 Dy 2.27
O: 0.0000 0.1057 0.6768 [2 per cell]  2 Dy 2.14-2.16

=====

3.
DFT (PBE) results for a geometry-optimized LiIn2Cu5 structure.

Output
- raw total energy (eV/atom) = -3.2736

a b c (Å): 4.3257 4.3257 6.1155
angles (deg): 90.00 90.00 90.00
Closest atoms and distances in Å follow each position.
Space group P4/mmm (No. 123)
Unique sites:
Li: 0.0000 0.0000 0.0000 [1 per cell]  8 Cu 2.66
In: 0.0000 0.0000 0.5000 [1 per cell]  8 Cu 2.64
In: 0.5000 0.5000 0.0000 [1 per cell]  8 Cu 2.66
Cu: 0.0000 0.5000 0.2527 [4 per cell]  4 In 2.64-2.66, 2 Cu 2.64, 2 Li 2.66
Cu: 0.5000 0.5000 0.5000 [1 per cell]  8 Cu 2.64

=====

4.
DFT (PBE) results for a geometry-optimized Er2TmMg3Al2Cd structure.

Output
- raw total energy (eV/atom) = -3.2557
- size of the total moment (μB per cell) = 0.0

a b c (Å): 4.5078 12.7391 7.3750
angles (deg): 90.00 90.00 90.00
Closest atoms and distances in Å follow each position.
Space group Amm2 (No. 38)
Unique sites:
Er: 0.0000 0.2155 0.0000 [4 per cell]  4 Al 3.14, 1 Cd 3.18, 2 Mg 3.27
Tm: 0.0000 0.0000 0.3537 [2 per cell]  4 Al 3.14, 1 Cd 3.17, 2 Mg 3.28
Mg: 0.5000 0.0000 0.0308 [2 per cell]  2 Al 2.83, 2 Cd 2.90, 2 Mg 3.14
Mg: 0.5000 0.1231 0.6612 [4 per cell]  2 Al 2.83, 2 Cd 2.89, 2 Mg 3.14
Al: 0.5000 0.1663 0.2845 [4 per cell]  3 Mg 2.83, 2 Tm 3.14, 4 Er 3.14
Cd: 0.0000 0.0000 0.7836 [2 per cell]  6 Mg 2.89-2.90, 1 Tm 3.17, 2 Er 3.18

=====

5.
DFT (PBE) results for a geometry-optimized Sm2Tc structure.

Output
- energy of formation (eV per atom) = 1.193
- relative energy among the computed polymorphs (eV per atom) = 0.000
- raw total energy (eV/atom) = -5.4011
- size of the total moment (μB per cell) = 9.1

a b c (Å): 8.4064 8.4064 8.4064
angles (deg): 90.00 90.00 90.00
Closest atoms and distances in Å follow each position.
Space group Fd-3m (No. 227, origin choice 2)
Unique sites:
Sm: 0.0000 0.0000 0.0000 [16 per cell]  6 Sm 2.97
Tc: 0.1250 0.1250 0.6250 [8 per cell]  12 Sm 3.49, 4 Tc 3.64

=====

6.
DFT (PBE) results for a geometry-optimized Gd3Si4Sn4 structure.

Output
- raw total energy (eV/atom) = -4.8657
- size of the total moment (μB per cell) = 0.0

a b c (Å): 4.5013 7.0004 16.7245
angles (deg): 90.00 90.00 90.00
Closest atoms and distances in Å follow each position.
Space group Immm (No. 71)
Unique sites:
Gd: 0.0000 0.0000 0.0000 [2 per cell]  4 Sn 3.09
Gd: 0.0000 0.5000 0.1304 [4 per cell]  4 Si 3.21, 6 Sn 3.38-3.42
Si: 0.0000 0.3239 0.3492 [8 per cell]  1 Si 2.47, 1 Sn 2.67
Sn: 0.0000 0.0000 0.2188 [4 per cell]  4 Si 2.81
Sn: 0.0000 0.1972 0.5000 [4 per cell]  2 Si 2.67, 1 Sn 2.76

=====

7.
DFT (PBE) results for a geometry-optimized BaSrSi2GeAu structure.

Output
- raw total energy (eV/atom) = -4.3167

a b c (Å): 8.6021 9.7345 14.8430
angles (deg): 90.00 90.00 90.00
Closest atoms and distances in Å follow each position.
Space group Fmmm (No. 69)
Unique sites:
Ba: 0.0000 0.2463 0.0000 [8 per cell]  2 Ge 3.41, 8 Si 3.43-3.49, 2 Au 3.47
Sr: 0.2500 0.2500 0.2500 [8 per cell]  4 Au 3.49, 4 Ge 3.49, 4 Si 3.50
Si: 0.2492 0.0000 0.0810 [16 per cell]  1 Si 2.40, 1 Ge 2.47, 1 Au 2.48
Ge: 0.0000 0.0000 0.1632 [8 per cell]  2 Si 2.47, 1 Au 2.56
Au: 0.0000 0.0000 0.3360 [8 per cell]  2 Si 2.48, 1 Ge 2.56

=====

8.
DFT (PBE) results for a geometry-optimized CsNdYSe3 structure.

Output
- relative energy among the computed polymorphs (eV per atom) = 0.000
- raw total energy (eV/atom) = -5.3487
- size of the total moment (μB per cell) = 0.3

a b c (Å): 4.6210 16.3504 11.5323
angles (deg): 90.00 90.00 90.00
Closest atoms and distances in Å follow each position.
Space group Cmcm (No. 63)
Unique sites:
Cs: 0.0000 0.2361 0.2500 [4 per cell]  8 Se 3.73-4.04
Nd: 0.0000 0.5000 0.0000 [4 per cell]  6 Se 3.03-3.08
Y: 0.0000 0.0346 0.7500 [4 per cell]  4 Se 2.72-2.75
Se: 0.0000 0.1196 0.5477 [8 per cell]  1 Y 2.72
Se: 0.0000 0.4430 0.7500 [4 per cell]  2 Y 2.75, 2 Nd 3.03

=====

9.
DFT (PBE) results for a geometry-optimized PmZrU structure.

Output
- energy of formation (eV per atom) = 1.151
- relative energy among the computed polymorphs (eV per atom) = 0.000
- raw total energy (eV/atom) = -7.0452
- size of the total moment (μB per cell) = 7.4

a b c (Å): 7.1018 7.1018 7.1018
angles (deg): 90.00 90.00 90.00
Closest atoms and distances in Å follow each position.
Space group F-43m (No. 216)
Unique sites:
Pm: 0.0000 0.0000 0.0000 [4 per cell]  4 Zr 3.08
Zr: 0.2500 0.2500 0.2500 [4 per cell]  4 Pm 3.08, 4 U 3.08
U: 0.0000 0.0000 0.5000 [4 per cell]  4 Zr 3.08

=====

10.
DFT (PBE) results for a geometry-optimized NaZrHg3Te4 structure.

Output
- relative energy among the computed polymorphs (eV per atom) = 0.000
- raw total energy (eV/atom) = -2.9156
- size of the total moment (μB per cell) = 0.0

a b c (Å): 7.6262 8.6032 10.7083
angles (deg): 90.00 104.98 90.00
Closest atoms and distances in Å follow each position.
Space group P2_1/m (No. 11)
Unique sites:
Na: 0.1613 0.2500 0.0334 [2 per cell]  3 Te 3.20-3.38
Zr: 0.3895 0.2500 0.7305 [2 per cell]  4 Te 2.74-2.82
Hg: 0.0575 0.7500 0.3160 [2 per cell]  2 Hg 2.86, 3 Te 2.88-3.07
Hg: 0.2476 0.5667 0.5315 [4 per cell]  2 Hg 2.86-3.15, 2 Te 2.99-3.05
Te: 0.2175 0.5031 0.8054 [4 per cell]  1 Zr 2.76, 2 Hg 3.05-3.07
Te: 0.2582 0.7500 0.1222 [2 per cell]  1 Zr 2.74, 1 Hg 2.88
Te: 0.3539 0.2500 0.4620 [2 per cell]  1 Zr 2.82, 2 Hg 2.99

=====

11.
DFT (PBE) results for a geometry-optimized Zn2SiMo structure.

Output
- raw total energy (eV/atom) = -4.4163
- size of the total moment (μB per cell) = 0.0

a b c (Å): 6.1152 6.1152 6.1152
angles (deg): 90.00 90.00 90.00
Closest atoms and distances in Å follow each position.
Space group F-43m (No. 216)
Unique sites:
Zn: 0.0000 0.0000 0.0000 [4 per cell]  4 Mo 2.65, 4 Zn 2.65
Zn: 0.2500 0.2500 0.2500 [4 per cell]  4 Si 2.65, 4 Zn 2.65
Si: 0.0000 0.0000 0.5000 [4 per cell]  4 Mo 2.65, 4 Zn 2.65
Mo: 0.2500 0.2500 0.7500 [4 per cell]  4 Si 2.65, 4 Zn 2.65

=====

12.
DFT (PBE) results for a geometry-optimized ErPtNO structure.

Output
- relative energy among the computed polymorphs (eV per atom) = 0.466
- raw total energy (eV/atom) = -7.0293
- size of the total moment (μB per cell) = 2.8

a b c (Å): 3.8526 3.8526 7.3782
angles (deg): 90.00 90.00 90.00
Closest atoms and distances in Å follow each position.
Space group P4/nmm (No. 129, origin choice 2)
Unique sites:
Er: 0.2500 0.2500 0.1451 [2 per cell]  4 O 2.20
Pt: 0.2500 0.7500 0.5000 [2 per cell]  4 N 2.27
N: 0.2500 0.2500 0.6637 [2 per cell]  4 Pt 2.27
O: 0.2500 0.7500 0.0000 [2 per cell]  4 Er 2.20

=====

13.
DFT (PBE) results for a geometry-optimized In2Au7 structure.

Output
- raw total energy (eV/atom) = -3.1072

a b c (Å): 3.0107 3.0107 34.0739
angles (deg): 90.00 90.00 120.00
Closest atoms and distances in Å follow each position.
Space group P-3m1 (No. 164)
Unique sites:
In: 0.3333 0.6667 0.2194 [2 per cell]  6 In 3.01, 3 Au 3.09
Au: 0.0000 0.0000 0.2943 [2 per cell]  9 Au 2.95-3.01, 3 In 3.09
Au: 0.0000 0.0000 0.5000 [1 per cell]  12 Au 2.89-3.01
Au: 0.3333 0.6667 0.4322 [2 per cell]  12 Au 2.89-3.01
Au: 0.3333 0.6667 0.6358 [2 per cell]  12 Au 2.90-3.01

=====

14.
DFT (PBE) results for a geometry-optimized W5C structure.

Output
- raw total energy (eV/atom) = -10.5303
- size of the total moment (μB per cell) = 0.0

a b c (Å): 5.1151 5.1151 4.7208
angles (deg): 90.00 90.00 120.00
Closest atoms and distances in Å follow each position.
Space group P6/mmm (No. 191)
Unique sites:
W: 0.0000 0.5000 0.0000 [3 per cell]  8 W 2.56-2.78
W: 0.3333 0.6667 0.5000 [2 per cell]  9 W 2.78-2.95, 3 C 2.95
C: 0.0000 0.0000 0.5000 [1 per cell]  6 W 2.95

=====

15.
DFT (PBE) results for a geometry-optimized Tb3GdTe2C2 structure.

Output
- raw total energy (eV/atom) = -6.2656
- size of the total moment (μB per cell) = 0.0

a b c (Å): 3.8602 3.8602 14.1425
angles (deg): 90.00 90.00 120.00
Closest atoms and distances in Å follow each position.
Space group P3m1 (No. 156)
Unique sites:
Tb: 0.0000 0.0000 0.0000 [1 per cell]  3 C 2.59
Tb: 0.0000 0.0000 0.3119 [1 per cell]  3 C 2.59
Tb: 0.6667 0.3333 0.8129 [1 per cell]  3 C 2.59
Gd: 0.6667 0.3333 0.5001 [1 per cell]  3 C 2.60
Te: 0.0000 0.0000 0.6572 [1 per cell]  3 Tb 3.13, 3 Gd 3.15
Te: 0.6667 0.3333 0.1560 [1 per cell]  6 Tb 3.13-3.14
C: 0.3333 0.6667 0.4055 [1 per cell]  3 Tb 2.59, 3 Gd 2.60
C: 0.3333 0.6667 0.9065 [1 per cell]  6 Tb 2.59

=====

16.
DFT (PBE) results for a geometry-optimized AcZnNi structure.

Output
- energy of formation (eV per atom) = 0.417
- relative energy among the computed polymorphs (eV per atom) = 0.746
- raw total energy (eV/atom) = -3.2292
- size of the total moment (μB per cell) = 0.0

a b c (Å): 6.9884 6.9884 6.9884
angles (deg): 90.00 90.00 90.00
Closest atoms and distances in Å follow each position.
Space group F-43m (No. 216)
Unique sites:
Ac: 0.0000 0.0000 0.0000 [4 per cell]  4 Ni 3.03, 4 Zn 3.03
Zn: 0.2500 0.2500 0.2500 [4 per cell]  4 Ac 3.03
Ni: 0.2500 0.2500 0.7500 [4 per cell]  4 Ac 3.03

=====

17.
DFT (PBE) results for a geometry-optimized PmGaPO structure.

Output
- relative energy among the computed polymorphs (eV per atom) = 0.972
- raw total energy (eV/atom) = -5.1757
- size of the total moment (μB per cell) = 0.0

a b c (Å): 4.2885 4.2885 9.3661
angles (deg): 90.00 90.00 90.00
Closest atoms and distances in Å follow each position.
Space group P4/nmm (No. 129, origin choice 2)
Unique sites:
Pm: 0.2500 0.7500 0.0000 [2 per cell]  4 P 2.80, 4 Pm 3.03
Ga: 0.2500 0.2500 0.4433 [2 per cell]  4 O 2.21, 1 P 2.36
P: 0.2500 0.2500 0.1917 [2 per cell]  1 Ga 2.36
O: 0.2500 0.7500 0.5000 [2 per cell]  4 Ga 2.21

=====

18.
DFT (PBE) results for a geometry-optimized InFeCuOs structure.

Output
- relative energy among the computed polymorphs (eV per atom) = 0.000
- raw total energy (eV/atom) = -6.1295
- size of the total moment (μB per cell) = 11.7

a b c (Å): 6.1365 6.1365 6.1365
angles (deg): 90.00 90.00 90.00
Closest atoms and distances in Å follow each position.
Space group F-43m (No. 216)
Unique sites:
In: 0.0000 0.0000 0.0000 [4 per cell]  4 Fe 2.66, 4 Cu 2.66
Fe: 0.2500 0.2500 0.7500 [4 per cell]  4 In 2.66, 4 Os 2.66
Cu: 0.2500 0.2500 0.2500 [4 per cell]  4 In 2.66, 4 Os 2.66
Os: 0.0000 0.0000 0.5000 [4 per cell]  4 Fe 2.66, 4 Cu 2.66

=====

19.
DFT (PBE) results for a geometry-optimized SmGaNi structure.

Output
- raw total energy (eV/atom) = -4.8228
- size of the total moment (μB per cell) = 1.5

a b c (Å): 6.3187 6.3187 6.3187
angles (deg): 90.00 90.00 90.00
Closest atoms and distances in Å follow each position.
Space group F-43m (No. 216)
Unique sites:
Sm: 0.0000 0.0000 0.0000 [4 per cell]  4 Ni 2.74
Ga: 0.0000 0.0000 0.5000 [4 per cell]  4 Ni 2.74
Ni: 0.2500 0.2500 0.7500 [4 per cell]  4 Ga 2.74, 4 Sm 2.74

=====

20.
DFT (PBE) results for a geometry-optimized LaCdInTe3 structure.

Output
- relative energy among the computed polymorphs (eV per atom) = 0.085
- raw total energy (eV/atom) = -3.7477
- size of the total moment (μB per cell) = 0.0

a b c (Å): 19.5140 4.5614 9.7978
angles (deg): 90.00 105.10 90.00
Closest atoms and distances in Å follow each position.
Space group C2/m (No. 12)
Unique sites:
La: 0.1748 0.0000 0.0991 [4 per cell]  6 Te 3.17-3.29
Cd: 0.0232 0.5000 0.2186 [4 per cell]  4 Te 2.91-3.08
In: 0.1330 0.0000 0.5783 [4 per cell]  7 Te 3.39-3.60
Te: 0.0000 0.0000 0.0000 [2 per cell]  4 Cd 3.08, 2 La 3.29
Te: 0.0000 0.5000 0.5000 [2 per cell]  2 Cd 2.91
Te: 0.1587 0.5000 0.8600 [4 per cell]  3 La 3.17-3.23, 1 Cd 3.43, 2 In 3.51
Te: 0.1775 0.5000 0.3298 [4 per cell]  1 Cd 2.92, 2 La 3.20